First-principles (GGA-PBE) data for a relaxed La2RuRh crystal, as listed in Alexandria via LeMat-Bulk.

Results
DOS at the Fermi energy, states/eV/f.u.: 3.84
Energy of formation, meV per atom: -193
ρ, g/cm3: 8.623
Symmetry: I-42d, No. 122

Cell and atoms, written as extended XYZ:
```
8
Lattice="-3.774 3.774 3.257 3.774 -3.774 3.257 3.774 3.774 -3.257" Properties=species:S:1:pos:R:3 pbc="T T T"
La 5.661 1.822 -0.814
La 1.822 1.887 0.814
La -1.887 1.952 2.443
La 1.952 1.887 4.071
Ru 0.000 0.000 0.000
Ru 0.000 3.774 1.629
Rh 3.774 0.000 1.629
Rh 0.000 0.000 3.257
```